Compound: YTl6Pd12
Source: Alexandria via LeMat-Bulk
Functional: GGA-PBE
Structure: relaxed

Properties
Space-group type: R-3, No. 148
DFT total energy: -4.5010 eV/atom

POSCAR file:
```
YTl6Pd12
1.0
7.386 -0.252 -0.302
-1.369 7.262 -0.302
-1.369 -1.595 7.091
Pd Tl Y
12 6 1
Direct
0.016 0.244 0.739
0.261 0.984 0.756
0.739 0.016 0.244
0.610 0.184 0.576
0.984 0.756 0.261
0.576 0.610 0.184
0.756 0.261 0.984
0.424 0.390 0.816
0.184 0.576 0.610
0.390 0.816 0.424
0.816 0.424 0.390
0.244 0.739 0.016
0.547 0.799 0.848
0.799 0.848 0.547
0.848 0.547 0.799
0.453 0.201 0.152
0.152 0.453 0.201
0.201 0.152 0.453
0.000 0.000 0.000
```

=====

Compound: YTlPd6
Source: Alexandria via LeMat-Bulk
Functional: GGA-PBE
Structure: relaxed

Properties
Space-group type: P4/mmm, No. 123
DFT total energy: -5.5285 eV/atom

POSCAR file:
```
YTlPd6
1.0
4.105 0.000 0.000
0.000 4.105 0.000
0.000 0.000 8.250
Pd Y Tl
6 1 1
Direct
0.500 0.500 0.500
0.500 0.000 0.747
0.500 0.000 0.253
0.500 0.500 0.000
0.000 0.500 0.253
0.000 0.500 0.747
0.000 0.000 0.000
0.000 0.000 0.500
```

=====

Compound: Y2TlPd9
Source: Alexandria via LeMat-Bulk
Functional: GGA-PBE
Structure: relaxed

Properties
Space-group type: P4/mmm, No. 123
DFT total energy: -5.8057 eV/atom

POSCAR file:
```
Y2TlPd9
1.0
-3.895 1.241 -0.571
-1.366 -3.499 1.713
0.091 5.384 11.072
Pd Tl Y
9 1 2
Direct
0.000 0.500 0.500
0.500 0.000 0.500
0.000 0.500 0.836
0.500 0.500 0.333
0.500 0.000 0.164
0.500 0.500 0.000
0.500 0.000 0.836
0.500 0.500 0.667
0.000 0.500 0.164
0.000 0.000 0.000
0.000 0.000 0.331
0.000 0.000 0.669
```

=====

Compound: YTlPd6
Source: Alexandria via LeMat-Bulk
Functional: GGA-PBE
Structure: relaxed

Properties
Space-group type: R-3m, No. 166
DFT total energy: -5.0731 eV/atom

POSCAR file:
```
YTlPd6
1.0
5.445 0.525 0.594
-0.073 5.470 0.594
-0.073 -0.082 5.502
Pd Tl Y
6 1 1
Direct
0.160 0.160 0.531
0.840 0.469 0.840
0.840 0.840 0.469
0.469 0.840 0.840
0.531 0.160 0.160
0.160 0.531 0.160
0.500 0.500 0.500
0.000 0.000 0.000
```

=====

Compound: Y12TlPd6
Source: Alexandria via LeMat-Bulk
Functional: GGA-PBE
Structure: relaxed

Properties
Space-group type: Im-3, No. 204
DFT total energy: -6.4597 eV/atom

POSCAR file:
```
Y12TlPd6
1.0
-2.764 6.620 4.846
-2.038 1.443 -8.289
-3.787 -7.312 2.673
Tl Y Pd
1 12 6
Direct
0.000 0.000 0.000
0.703 0.887 0.183
0.480 0.183 0.297
0.817 0.297 0.113
0.297 0.480 0.183
0.887 0.183 0.703
0.297 0.113 0.817
0.113 0.817 0.297
0.703 0.520 0.817
0.183 0.297 0.480
0.520 0.817 0.703
0.183 0.703 0.887
0.817 0.703 0.520
0.364 0.500 0.864
0.636 0.500 0.136
0.864 0.364 0.500
0.500 0.864 0.364
0.500 0.136 0.636
0.136 0.636 0.500
```

=====

Compound: YTlPd
Source: Alexandria via LeMat-Bulk
Functional: GGA-PBE
Structure: relaxed

Properties
Space-group type: P-62m, No. 189
DFT total energy: -5.3325 eV/atom

POSCAR file:
```
YTlPd
1.0
7.898 0.000 0.000
-3.949 6.840 0.000
0.000 0.000 3.768
Tl Y Pd
3 3 3
Direct
0.732 0.732 0.000
0.000 0.268 0.000
0.268 0.000 0.000
0.000 0.598 0.500
0.598 0.000 0.500
0.402 0.402 0.500
0.667 0.333 0.000
0.000 0.000 0.500
0.333 0.667 0.000
```

=====

Compound: YTlPd2
Source: Alexandria via LeMat-Bulk
Functional: GGA-PBE
Structure: relaxed

Properties
Space-group type: Immm, No. 71
DFT total energy: -4.7627 eV/atom

POSCAR file:
```
YTlPd2
1.0
5.159 -1.675 -3.114
-1.297 5.266 3.114
-3.520 -0.087 5.169
Pd Y Tl
2 1 1
Direct
0.000 0.245 0.245
0.000 0.755 0.755
0.000 0.000 0.000
0.000 0.500 0.500
```

=====

Compound: Y5Tl4Pd
Source: Alexandria via LeMat-Bulk
Functional: GGA-PBE
Structure: relaxed

Properties
Space-group type: P4/mmm, No. 123
DFT total energy: -5.1841 eV/atom

POSCAR file:
```
Y5Tl4Pd
1.0
3.585 0.000 0.000
0.000 3.585 0.000
0.000 0.000 20.437
Pd Y Tl
1 5 4
Direct
0.000 0.000 0.000
0.500 0.500 0.084
0.500 0.500 0.916
0.500 0.500 0.708
0.500 0.500 0.500
0.500 0.500 0.292
0.000 0.000 0.396
0.000 0.000 0.604
0.000 0.000 0.811
0.000 0.000 0.189
```